Here is a geometry-optimized KLiRePb2 structure from the Alexandria database. Energies are from GGA-PBE.

Geometry as CIF:
```
data_KLiRePb2
_chemical_formula_sum 'K1 Li1 Re1 Pb2'
_cell_length_a 5.9253
_cell_length_b 5.9253
_cell_length_c 5.4641
_cell_angle_alpha 90.00
_cell_angle_beta 90.00
_cell_angle_gamma 90.00
_space_group_name_H-M_alt 'P 4/m m m'
_space_group_IT_number 123
_space_group_name_Hall '-P 4 2'
loop_
_atom_site_label
_atom_site_type_symbol
_atom_site_fract_x
_atom_site_fract_y
_atom_site_fract_z
K1 K 0.0000 0.0000 0.0000
Li1 Li 0.5000 0.5000 0.5000
Re1 Re 0.0000 0.0000 0.5000
Pb1 Pb 0.0000 0.5000 0.0000
```

Output
The density of states at the Fermi level is 0.920 states/eV per atom. The calculation puts the total energy at -2.65 eV per atom. As for the density: 5.597 g/cm3. The crystal system is tetragonal.


Here is a geometry-optimized KLiSbPb2 structure from the Alexandria database. Energies are from GGA-PBE.

Geometry as CIF:
```
data_KLiSbPb2
_chemical_formula_sum 'K1 Li1 Sb1 Pb2'
_cell_length_a 5.2784
_cell_length_b 5.2784
_cell_length_c 5.3750
_cell_angle_alpha 90.00
_cell_angle_beta 90.00
_cell_angle_gamma 90.00
_space_group_name_H-M_alt 'P 4/m m m'
_space_group_IT_number 123
_space_group_name_Hall '-P 4 2'
loop_
_atom_site_label
_atom_site_type_symbol
_atom_site_fract_x
_atom_site_fract_y
_atom_site_fract_z
K1 K 0.0000 0.0000 0.0000
Li1 Li 0.0000 0.0000 0.5000
Sb1 Sb 0.5000 0.5000 0.0000
Pb1 Pb 0.0000 0.5000 0.5000
```

Output
The density of states at the Fermi level is 0.603 states/eV per atom. As for the density: 6.456 g/cm3. The crystal system is tetragonal. Its raw formation energy is 0.085 eV per atom.


Here is a geometry-optimized K2Li4Sb3Pb structure from the Alexandria database. Energies are from GGA-PBE.

Geometry as CIF:
```
data_K2Li4Sb3Pb
_chemical_formula_sum 'K2 Li4 Sb3 Pb1'
_cell_length_a 4.7546
_cell_length_b 4.7546
_cell_length_c 12.1540
_cell_angle_alpha 90.00
_cell_angle_beta 90.00
_cell_angle_gamma 90.00
_space_group_name_H-M_alt 'P -4 m 2'
_space_group_IT_number 115
_space_group_name_Hall 'P -4 -2'
loop_
_atom_site_label
_atom_site_type_symbol
_atom_site_fract_x
_atom_site_fract_y
_atom_site_fract_z
K1 K 0.0000 0.5000 0.2329
Li1 Li 0.0000 0.0000 0.0000
Li2 Li 0.0000 0.5000 0.6482
Li3 Li 0.5000 0.5000 0.0000
Sb1 Sb 0.0000 0.5000 0.8764
Sb2 Sb 0.5000 0.5000 0.5000
Pb1 Pb 0.0000 0.0000 0.5000
```

Output
The density of states at the Fermi level is 0.840 states/eV per atom. As for the density: 4.100 g/cm3. The crystal system is tetragonal. Its raw formation energy is -0.360 eV per atom.